1.
A relaxed CeZr2In crystal. Source: Alexandria, functional GGA-PBE.

Cell lengths 4.705, 4.705, 4.305 Å; angles 90.00, 90.00, 90.00 degrees
Space group P4/mmm (No. 123)
Symmetry-distinct sites (fractional):
Ce (0.000, 0.000, 0.000)
Zr (0.000, 0.500, 0.500)
In (0.500, 0.500, 0.000)

Calculated values
ΔH_f (0 K) ... -0.160 eV per atom
Final energy ... -26.4 eV/cell
Offset from the most stable computed form ... 0.000 eV per atom

2.
A relaxed Ce3ZrIn12 crystal. Source: Alexandria, functional GGA-PBE.

Cell lengths 4.663, 4.663, 18.624 Å; angles 90.00, 90.00, 90.00 degrees
Space group P4/mmm (No. 123)
Symmetry-distinct sites (fractional):
Ce (0.000, 0.000, 0.000)
Ce (0.000, 0.000, 0.257)
Zr (0.000, 0.000, 0.500)
In (0.000, 0.500, 0.127)
In (0.000, 0.500, 0.382)
In (0.500, 0.500, 0.000)
In (0.500, 0.500, 0.253)
In (0.500, 0.500, 0.500)

Calculated values
ΔH_f (0 K) ... -0.362 eV per atom
Final energy ... -65.0 eV/cell

3.
A relaxed CeZrIn crystal. Source: Alexandria, functional GGA-PBE.

Cell lengths 8.828, 5.101, 7.910 Å; angles 90.00, 111.79, 90.00 degrees
Space group Cm (No. 8)
Symmetry-distinct sites (fractional):
Ce (0.000, 0.000, 0.000)
Ce (0.242, 0.500, 0.221)
Zr (0.161, 0.000, 0.479)
Zr (0.364, 0.500, 0.588)
In (0.089, 0.500, 0.765)
In (0.455, 0.000, 0.362)

Calculated values
ΔH_f (0 K) ... 0.105 eV per atom
Final energy ... -67.6 eV/cell
Offset from the most stable computed form ... 0.287 eV per atom

4.
A relaxed Ce6Ir5 crystal. Source: Alexandria, functional GGA-PBE.

Cell lengths 7.008, 12.040, 6.992 Å; angles 90.00, 108.75, 90.00 degrees
Space group C2/m (No. 12)
Symmetry-distinct sites (fractional):
Ce (0.236, 0.000, 0.244)
Ce (0.239, 0.173, 0.738)
Ir (0.000, 0.000, 0.500)
Ir (0.000, 0.170, 0.000)
Ir (0.000, 0.344, 0.500)

Calculated values
ΔH_f (0 K) ... -0.679 eV per atom
Final energy ... -174.8 eV/cell

5.
A relaxed Ce4Ir crystal. Source: Alexandria, functional GGA-PBE.

Cell lengths 6.953, 7.050, 7.068 Å; angles 60.13, 75.91, 60.77 degrees
Space group P1 (No. 1)
Symmetry-distinct sites (fractional):
Ce (0.000, 0.000, 0.000)
Ce (0.046, 0.577, 0.390)
Ce (0.359, 0.613, 0.920)
Ce (0.433, 0.644, 0.356)
Ce (0.500, 0.083, 0.833)
Ce (0.546, 0.051, 0.443)
Ce (0.858, 0.617, 0.913)
Ce (0.933, 0.084, 0.477)
Ir (0.224, 0.205, 0.156)
Ir (0.724, 0.444, 0.677)

Calculated values
ΔH_f (0 K) ... -0.242 eV per atom
Final energy ... -67.6 eV/cell
Offset from the most stable computed form ... 0.000 eV per atom

6.
A relaxed Ce5Ir4 crystal. Source: Alexandria, functional GGA-PBE.

Cell lengths 7.316, 14.928, 7.545 Å; angles 90.00, 90.00, 90.00 degrees
Space group Pnma (No. 62)
Symmetry-distinct sites (fractional):
Ce (0.003, 0.092, 0.178)
Ce (0.152, 0.121, 0.665)
Ce (0.187, 0.750, 0.521)
Ir (0.047, 0.750, 0.120)
Ir (0.180, 0.250, 0.359)
Ir (0.192, 0.537, 0.462)

Calculated values
ΔH_f (0 K) ... -0.716 eV per atom
Final energy ... -286.2 eV/cell
Offset from the most stable computed form ... 0.000 eV per atom

7.
A relaxed Ce5Ir2 crystal. Source: Alexandria, functional GGA-PBE.

Cell lengths 16.630, 6.250, 7.119 Å; angles 90.00, 97.94, 90.00 degrees
Space group C2/c (No. 15)
Symmetry-distinct sites (fractional):
Ce (0.000, 0.109, 0.250)
Ce (0.093, 0.381, 0.928)
Ce (0.221, 0.103, 0.339)
Ir (0.106, 0.181, 0.594)

Calculated values
ΔH_f (0 K) ... -0.459 eV per atom
Final energy ... -202.4 eV/cell

8.
A relaxed Ce5Ir4 crystal. Source: Alexandria, functional GGA-PBE.

Cell lengths 11.300, 3.896, 10.269 Å; angles 90.00, 109.23, 90.00 degrees
Space group C2/m (No. 12)
Symmetry-distinct sites (fractional):
Ce (0.000, 0.000, 0.000)
Ce (0.108, 0.000, 0.400)
Ce (0.228, 0.000, 0.813)
Ir (0.000, 0.500, 0.190)
Ir (0.130, 0.500, 0.610)

Calculated values
ΔH_f (0 K) ... -0.698 eV per atom
Final energy ... -142.8 eV/cell
Offset from the most stable computed form ... 0.018 eV per atom

Question: What is the ΔH_f (0 K) in the seventh record?
Answer: -0.459 eV per atom